1.
Below is a relaxed Mg4Hg2Au crystal, with properties calculated at the GGA-PBE level.

## Properties
- E_form: -2.0 eV per formula unit
- Volume: 152.37 Å³/f.u.
- M_tot: 0.000 μB per atom

a b c (Å): 8.273 8.273 8.273
angles (deg): 33.35 33.35 33.35
Fractional coordinates of all 7 atoms:
Mg1 0.124 0.124 0.124
Mg2 0.372 0.372 0.372
Mg3 0.628 0.628 0.628
Mg4 0.876 0.876 0.876
Hg1 0.245 0.245 0.245
Hg2 0.755 0.755 0.755
Au1 0.000 0.000 0.000


2.
Below is a relaxed Mg2HgAu crystal, with properties calculated at the GGA-PBE level.

## Properties
- E_form: -1.1 eV per formula unit
- Volume: 91.91 Å³/f.u.
- M_tot: 0.000 μB per atom

a b c (Å): 6.803 6.803 6.803
angles (deg): 34.88 34.88 34.88
Fractional coordinates of all 4 atoms:
Mg1 0.000 0.000 0.000
Mg2 0.188 0.188 0.188
Hg1 0.426 0.426 0.426
Au1 0.593 0.593 0.593


3.
Below is a relaxed MgHgAu crystal, with properties calculated at the GGA-PBE level.

## Properties
- Distance to the lowest polymorph of the same formula: 119 meV/atom
- E_form: -0.6 eV per formula unit
- Volume: 65.06 Å³/f.u.
- M_tot: 0.000 μB per atom

a b c (Å): 4.524 4.524 7.340
angles (deg): 90.00 90.00 120.00
Fractional coordinates of all 6 atoms:
Mg1 0.000 0.000 0.209
Mg2 0.000 0.000 0.791
Hg1 0.333 0.667 0.406
Hg2 0.667 0.333 0.594
Au1 0.333 0.667 0.932
Au2 0.667 0.333 0.068


4.
Below is a relaxed MgHgAu2 crystal, with properties calculated at the GGA-PBE level.

## Properties
- E_form: -0.9 eV per formula unit
- Volume: 76.11 Å³/f.u.
- M_tot: 0.000 μB per atom

a b c (Å): 4.757 4.757 4.757
angles (deg): 60.00 60.00 60.00
Fractional coordinates of all 4 atoms:
Mg1 0.000 0.000 0.000
Hg1 0.250 0.250 0.250
Au1 0.500 0.500 0.500
Au2 0.750 0.750 0.750


no.,total energy (eV/cell),mass density (g/cm³)
1,-12.31,7.58
2,-7.87,8.06
3,-11.61,10.77
4,-9.37,13.50